Entry from Alexandria via LeMat-Bulk: an optimized crystal structure of PmPr12Y7 (PBE-GGA).

Values from the calculation:
- SG = No. 148
- excess energy over the best structure of this formula in the dataset (eV/atom) = 0.131
- DOS at the Fermi energy (states/eV/atom) = 1.39
- formation energy (eV per atom) = 0.277
- VASP energy (eV per cell) = -101.8

The structure in POSCAR format:
```
PmPr12Y7
1.0
-0.7384 6.6303 1.7618
-0.5814 -5.1091 9.9757
8.7714 1.5565 6.8261
Pm Pr Y
1 12 7
direct
0.0000 0.0000 0.0000 Pm
0.7291 0.4780 0.0644 Pr
0.2065 0.9356 0.5424 Pr
0.2870 0.2131 0.2097 Pr
0.5032 0.7903 0.4229 Pr
0.7489 0.5424 0.5220 Pr
0.9261 0.4229 0.7869 Pr
0.0739 0.5771 0.2131 Pr
0.2511 0.4576 0.4780 Pr
0.4968 0.2097 0.5771 Pr
0.7130 0.7869 0.7903 Pr
0.7935 0.0644 0.4576 Pr
0.2709 0.5220 0.9356 Pr
0.7823 0.1621 0.1401 Y
0.0776 0.8599 0.3022 Y
0.3798 0.3022 0.8379 Y
0.5000 0.0000 0.0000 Y
0.6202 0.6978 0.1621 Y
0.9224 0.1401 0.6978 Y
0.2177 0.8379 0.8599 Y
```